# KCd4Hg2Bi (GGA-PBE, optimized geometry)
# DFT total energy	-9.94	eV/f.u.
# M_tot	0.00	Bohr magnetons per cell
data_KCd4Hg2Bi
_chemical_formula_sum 'K1 Cd4 Hg2 Bi1'
_symmetry_space_group_name_H-M 'P 4/m m m'
_symmetry_Int_Tables_number 123
_symmetry_space_group_name_Hall '-P 4 2'
_cell_length_a 4.758
_cell_length_b 4.758
_cell_length_c 10.577
_cell_angle_alpha 90.00
_cell_angle_beta 90.00
_cell_angle_gamma 90.00
loop_
_atom_site_label
_atom_site_type_symbol
_atom_site_fract_x
_atom_site_fract_y
_atom_site_fract_z
K1 K 0.000 0.000 0.000
Cd1 Cd 0.000 0.500 0.307
Hg1 Hg 0.500 0.500 0.138
Bi1 Bi 0.000 0.000 0.500